No. 1
VASP calculation (PBE-GGA) on a relaxed Ir6Os2Rh5 crystal.

```
Ir6Os2Rh5
1.0
2.7220 0.0000 0.0000
0.0000 8.7807 0.0000
0.0000 0.0000 16.2160
Ir Os Rh
12 4 10
direct
0.0000 0.8612 0.6131
0.5000 0.1143 0.6545
0.5000 0.6143 0.8455
0.0000 0.8629 0.9018
0.0000 0.6371 0.4018
0.0000 0.6388 0.1131
0.5000 0.8857 0.3455
0.5000 0.3857 0.1545
0.0000 0.1371 0.0982
0.0000 0.1388 0.3869
0.0000 0.3629 0.5982
0.0000 0.3612 0.8869
0.0000 0.1087 0.8018
0.0000 0.8913 0.1982
0.0000 0.6087 0.6982
0.0000 0.3913 0.3018
0.5000 0.3600 0.7444
0.5000 0.8778 0.0493
0.5000 0.0000 0.5000
0.5000 0.5000 0.0000
0.5000 0.8600 0.7556
0.5000 0.1400 0.2444
0.5000 0.3777 0.4507
0.5000 0.1222 0.9507
0.5000 0.6400 0.2556
0.5000 0.6222 0.5493
```

## Properties
The mass density comes out at 17.551 g/cm³. As for the formation energy: 0.17 eV/atom. The magnetic moment is 0.000 μB/f.u. Its density of states at the Fermi level is 31.515 states/eV/cell. The value obtained for the raw total energy is -8.477 eV per atom. Its space group is No. 55.

***

No. 2
VASP calculation (PBE-GGA) on a relaxed Li2SCl crystal.

```
Li2SCl
1.0
6.0874 0.0000 0.0000
0.0000 6.0874 0.0000
3.0437 3.0437 4.4600
S Li Cl
2 4 2
direct
0.5000 0.5000 0.0000
0.2500 0.7500 0.5000
0.3750 0.3573 0.7500
0.1073 0.6250 0.2500
0.6427 0.1250 0.2500
0.8750 0.8927 0.7500
0.0000 0.0000 0.0000
0.7500 0.2500 0.5000
```

## Properties
The mass density comes out at 1.636 g/cm³. The magnetic moment is 1.000 μB/f.u. The calculation puts the relative energy among the computed polymorphs at 0.000 eV/atom. The formation energy from raw total energies comes out at -4.2 eV per formula unit. Its density of states at the Fermi level is 2.734 states/eV/cell. The value obtained for the raw total energy is -3.507 eV per atom. Its space group is No. 122.

***

No. 3
VASP calculation (PBE-GGA) on a relaxed YNp2In3Te6 crystal.

```
YNp2In3Te6
1.0
7.6783 -0.0010 0.0002
-3.8381 6.6502 0.0002
-1.2805 -2.2171 8.1387
Te Np In Y
6 2 3 1
direct
0.0733 0.4051 0.2199
0.9267 0.5949 0.7801
0.7416 0.7416 0.2203
0.2584 0.2584 0.7797
0.5949 0.9267 0.7801
0.4051 0.0733 0.2199
0.3333 0.6667 0.0000
0.6667 0.3333 0.0000
0.8335 0.1665 0.5000
0.1665 0.8335 0.5000
0.5000 0.5000 0.5000
0.0000 0.0000 0.0000
```

## Properties
The mass density comes out at 6.685 g/cm³. The magnetic moment is 8.010 μB/f.u. The formation energy from raw total energies comes out at -7.7 eV per formula unit. Its density of states at the Fermi level is 20.167 states/eV/cell. The value obtained for the raw total energy is -5.591 eV per atom. Its space group is No. 12.

***

No. 4
VASP calculation (PBE-GGA) on a relaxed NdNi4Pd8 crystal.

```
NdNi4Pd8
1.0
-4.0892 -2.0911 -2.0491
-2.4322 -5.0334 3.8184
-5.6830 3.0501 2.0568
Ni Pd Nd
4 8 1
direct
0.5000 0.5000 0.0000
0.5000 0.0000 0.5000
0.0000 0.0000 0.5000
0.0000 0.5000 0.0000
0.6535 0.3465 0.3465
0.5000 0.7805 0.2195
0.2805 0.2195 0.2195
0.5000 0.2195 0.7805
0.0000 0.6535 0.3465
0.7195 0.7805 0.7805
0.0000 0.3465 0.6535
0.3465 0.6535 0.6535
0.0000 0.0000 0.0000
```

## Properties
The mass density comes out at 10.283 g/cm³. As for the formation energy: -0.23 eV/atom. The magnetic moment is 4.198 μB/f.u. Its density of states at the Fermi level is 16.442 states/eV/cell. The value obtained for the raw total energy is -5.574 eV per atom. Its space group is No. 139.

***

No. 5
VASP calculation (PBE-GGA) on a relaxed Y5AgRu4 crystal.

```
Y5AgRu4
1.0
-0.0690 -2.8754 1.8695
-1.2520 -1.7197 -2.6912
16.4109 -3.7851 -5.2158
Y Ru Ag
5 4 1
direct
0.5000 0.5000 0.6912
0.5000 0.5000 0.8827
0.5000 0.5000 0.1173
0.5000 0.5000 0.5000
0.5000 0.5000 0.3088
0.0000 0.0000 0.4035
0.0000 0.0000 0.5965
0.0000 0.0000 0.7932
0.0000 0.0000 0.2068
0.0000 0.0000 0.0000
```

## Properties
The mass density comes out at 7.657 g/cm³. As for the formation energy: -0.34 eV/atom. The magnetic moment is 0.000 μB/f.u. Its density of states at the Fermi level is 3.874 states/eV/cell. The value obtained for the raw total energy is -7.566 eV per atom. Its space group is No. 123.

***

No. 6
VASP calculation (PBE-GGA) on a relaxed SrAgP2 crystal.

```
SrAgP2
1.0
-3.3965 1.2159 3.1405
2.3231 -2.3834 3.4352
3.8265 6.5113 5.2598
P Ag Sr
4 2 2
direct
0.7797 0.1250 0.2500
0.9703 0.6250 0.2500
0.8750 0.0297 0.7500
0.3750 0.2203 0.7500
0.0000 0.0000 0.0000
0.7500 0.2500 0.5000
0.2500 0.7500 0.5000
0.5000 0.5000 0.0000
```

## Properties
The mass density comes out at 4.366 g/cm³. As for the formation energy: -0.31 eV/atom. The magnetic moment is 0.000 μB/f.u. Its density of states at the Fermi level is 1.832 states/eV/cell. The value obtained for the raw total energy is -4.149 eV per atom. Its space group is No. 122.

***

No. 7
VASP calculation (PBE-GGA) on a relaxed Ho3InRu crystal.

```
Ho3InRu
1.0
5.6676 0.1605 -1.1921
-2.5414 5.0685 -1.1919
-0.0501 -0.0843 8.7258
Ho In Ru
6 2 2
direct
0.0774 0.1981 0.2756
0.3002 0.8002 0.1004
0.9226 0.8019 0.7244
0.6981 0.5775 0.2756
0.3019 0.4225 0.7244
0.6998 0.1998 0.8996
0.2898 0.7898 0.5000
0.7102 0.2102 0.5000
0.7500 0.7500 0.0000
0.2500 0.2500 0.0000
```

## Properties
The mass density comes out at 9.325 g/cm³. As for the formation energy: -0.42 eV/atom. The magnetic moment is 0.000 μB/f.u. The calculation puts the relative energy among the computed polymorphs at 0.000 eV/atom. Its density of states at the Fermi level is 5.770 states/eV/cell. The value obtained for the raw total energy is -5.566 eV per atom. Its space group is No. 69.

***

No. 8
VASP calculation (PBE-GGA) on a relaxed ZrCoIr2Rh crystal.

```
ZrCoIr2Rh
1.0
4.4765 0.0000 0.0000
0.0000 4.4280 0.0000
0.0000 0.0000 4.4765
Co Ir Zr Rh
1 2 1 1
direct
0.0000 0.0000 0.0000
0.0000 0.0000 0.5000
0.5000 0.0000 0.0000
0.5000 0.5000 0.5000
0.0000 0.5000 0.0000
```

## Properties
The mass density comes out at 11.930 g/cm³. As for the formation energy: 0.56 eV/atom. The magnetic moment is 3.152 μB/f.u. Its density of states at the Fermi level is 4.770 states/eV/cell. The value obtained for the raw total energy is -7.589 eV per atom. Its space group is No. 123.

***

No. 9
VASP calculation (PBE-GGA) on a relaxed PrGa6Ni2 crystal.

```
PrGa6Ni2
1.0
-1.9907 -3.2475 -4.4997
3.9754 -2.2498 3.7271
-4.4085 -2.0763 3.4489
Ga Ni Pr
6 2 1
direct
0.0000 0.5001 0.2157
0.5001 0.0000 0.2157
0.4999 0.0000 0.7843
0.5001 0.5001 0.7843
0.0000 0.4999 0.7843
0.4999 0.4999 0.2157
0.6667 0.3333 0.5000
0.3333 0.6667 0.5000
0.0000 0.0000 0.0000
```

## Properties
The mass density comes out at 6.253 g/cm³. As for the formation energy: -0.20 eV/atom. The magnetic moment is 0.000 μB/f.u. Its density of states at the Fermi level is 7.182 states/eV/cell. The value obtained for the raw total energy is -4.033 eV per atom. Its space group is No. 191.

***

No. 10
VASP calculation (PBE-GGA) on a relaxed Cr2HRu crystal.

```
Cr2HRu
1.0
2.6545 0.0000 0.0000
0.0000 2.6545 0.0000
0.0000 0.0000 5.7907
Ru Cr H
1 2 1
direct
0.5000 0.5000 0.5000
0.0000 0.0000 0.8107
0.0000 0.0000 0.1893
0.5000 0.5000 0.0000
```

## Properties
The mass density comes out at 8.386 g/cm³. The magnetic moment is 0.000 μB/f.u. The calculation puts the relative energy among the computed polymorphs at 0.257 eV/atom. Its density of states at the Fermi level is 2.420 states/eV/cell. The value obtained for the raw total energy is -7.668 eV per atom. Its space group is No. 123.

***

No. 11
VASP calculation (PBE-GGA) on a relaxed Tb5NdDy4 crystal.

```
Tb5NdDy4
1.0
6.2866 0.0000 0.0000
3.1433 7.2257 0.0000
3.1433 0.0000 7.2257
Tb Dy Nd
5 4 1
direct
0.7170 0.0853 0.3799
0.0969 0.6201 0.0853
0.8023 0.3799 0.9147
0.6783 0.0000 0.0000
0.1823 0.9147 0.6201
0.1046 0.3000 0.3970
0.4046 0.3970 0.7000
0.8016 0.7000 0.6030
0.5016 0.6030 0.3000
0.2212 0.0000 0.0000
```

## Properties
The mass density comes out at 8.038 g/cm³. As for the formation energy: 0.30 eV/atom. The magnetic moment is 0.000 μB/f.u. Its density of states at the Fermi level is 14.522 states/eV/cell. The value obtained for the raw total energy is -4.336 eV per atom. Its space group is No. 79.

***

No. 12
VASP calculation (PBE-GGA) on a relaxed Pm2Ge5Pt3 crystal.

```
Pm2Ge5Pt3
1.0
6.3298 0.0000 0.0000
3.1649 7.8754 -0.0363
3.1649 1.1789 7.7868
Ge Pt Pm
10 6 4
direct
0.3941 0.2604 0.9513
0.8941 0.9513 0.2604
0.0222 0.2278 0.2278
0.1059 0.0487 0.7396
0.9778 0.7722 0.7722
0.5222 0.2278 0.2278
0.7500 0.5000 0.5000
0.2500 0.5000 0.5000
0.6059 0.7396 0.0487
0.4778 0.7722 0.7722
0.8615 0.7493 0.5277
0.2500 0.0000 0.0000
0.7500 0.0000 0.0000
0.6385 0.4723 0.2507
0.1385 0.2507 0.4723
0.3615 0.5277 0.7493
0.8686 0.4028 0.8600
0.3686 0.8600 0.4028
0.6314 0.1400 0.5972
0.1314 0.5972 0.1400
```

## Properties
The mass density comes out at 10.588 g/cm³. As for the formation energy: -0.83 eV/atom. The magnetic moment is 0.000 μB/f.u. Its density of states at the Fermi level is 6.132 states/eV/cell. The value obtained for the raw total energy is -5.899 eV per atom. Its space group is No. 72.

***

No. 13
VASP calculation (PBE-GGA) on a relaxed NdGdPb2 crystal.

```
NdGdPb2
1.0
-2.9301 -1.4618 -1.4363
0.7198 -3.0804 1.6669
-4.9210 2.7616 7.2285
Pb Nd Gd
2 1 1
direct
0.0000 0.0000 0.2457
0.0000 0.0000 0.7543
0.5000 0.5000 0.5000
0.5000 0.5000 0.0000
```

## Properties
The mass density comes out at 10.139 g/cm³. As for the formation energy: -0.52 eV/atom. The magnetic moment is 7.346 μB/f.u. The calculation puts the relative energy among the computed polymorphs at 0.000 eV/atom. Its density of states at the Fermi level is 3.298 states/eV/cell. The value obtained for the raw total energy is -7.086 eV per atom. Its space group is No. 123.

***

No. 14
VASP calculation (PBE-GGA) on a relaxed MnBiSe2 crystal.

```
MnBiSe2
1.0
-0.5689 -1.4488 -3.8686
7.5681 -0.7122 -3.6770
-0.5910 -6.2876 2.5722
Bi Mn Se
2 2 4
direct
0.6554 0.5807 0.4822
0.8855 0.1192 0.0664
0.2068 0.5078 0.1709
0.5567 0.7675 0.1174
0.0099 0.8533 0.3219
0.2345 0.2878 0.3739
0.7180 0.4648 0.9283
0.4652 0.9330 0.8327
```

## Properties
The mass density comes out at 6.227 g/cm³. The magnetic moment is 4.000 μB/f.u. The formation energy from raw total energies comes out at -1.0 eV per formula unit. Its density of states at the Fermi level is 0.609 states/eV/cell. The value obtained for the raw total energy is -5.247 eV per atom. Its space group is No. 1.

***

No. 15
VASP calculation (PBE-GGA) on a relaxed Ca2AlZn3 crystal.

```
Ca2AlZn3
1.0
4.1846 0.0000 1.7525
1.9083 5.3926 1.3156
0.0476 -0.1813 5.7586
Zn Al Ca
3 1 2
direct
0.1625 0.7765 0.8985
0.8370 0.6073 0.7187
0.8362 0.2169 0.1107
0.1646 0.3978 0.2730
0.5484 0.1999 0.7033
0.4513 0.8015 0.2959
```

## Properties
The mass density comes out at 3.878 g/cm³. As for the formation energy: -0.30 eV/atom. The magnetic moment is 0.000 μB/f.u. The calculation puts the relative energy among the computed polymorphs at 0.000 eV/atom. Its density of states at the Fermi level is 3.277 states/eV/cell. The value obtained for the raw total energy is -2.227 eV per atom. Its space group is No. 8.

***

No. 16
VASP calculation (PBE-GGA) on a relaxed Pm6HgRh2 crystal.

```
Pm6HgRh2
1.0
8.6889 -0.0899 -0.1064
-3.3753 8.0071 0.1064
-2.9410 -3.7678 7.2575
Pm Rh Hg
12 4 2
direct
0.8005 0.7657 0.5662
0.1098 0.2888 0.8210
0.8005 0.2343 0.0348
0.6938 0.0233 0.3295
0.5321 0.7112 0.8210
0.3062 0.9767 0.6705
0.3062 0.6358 0.3295
0.4679 0.2888 0.1790
0.8902 0.7112 0.1790
0.1995 0.7657 0.9652
0.6938 0.3642 0.6705
0.1995 0.2343 0.4338
0.3377 0.0000 0.3377
0.6623 0.0000 0.6623
0.5000 0.6324 0.1324
0.5000 0.3676 0.8676
0.0000 0.0000 0.0000
0.0000 0.5000 0.5000
```

## Properties
The mass density comes out at 8.438 g/cm³. As for the formation energy: -0.49 eV/atom. The magnetic moment is 0.000 μB/f.u. Its density of states at the Fermi level is 17.039 states/eV/cell. The value obtained for the raw total energy is -5.320 eV per atom. Its space group is No. 71.

***

No. 17
VASP calculation (PBE-GGA) on a relaxed Ba2BePt crystal.

```
Ba2BePt
1.0
-1.8042 -1.4622 -2.6544
-2.2343 -1.4462 2.3142
-5.5013 7.6977 -0.5010
Be Pt Ba
1 1 2
direct
0.0000 0.0000 0.5944
0.5000 0.5000 0.6574
0.0000 0.0000 0.9081
0.5000 0.5000 0.3401
```

## Properties
The mass density comes out at 6.746 g/cm³. As for the formation energy: -0.05 eV/atom. The magnetic moment is 0.000 μB/f.u. Its density of states at the Fermi level is 3.362 states/eV/cell. The value obtained for the raw total energy is -3.455 eV per atom. Its space group is No. 99.

***

No. 18
VASP calculation (PBE-GGA) on a relaxed Hg2Te crystal.

```
Hg2Te
1.0
4.4255 0.0000 0.0000
-2.2127 3.8326 0.0000
0.0000 0.0000 5.0939
Te Hg
1 2
direct
0.0000 0.0000 0.0000
0.3333 0.6667 0.3299
0.6667 0.3333 0.6701
```

## Properties
The mass density comes out at 10.163 g/cm³. The magnetic moment is 0.000 μB/f.u. The calculation puts the relative energy among the computed polymorphs at 0.037 eV/atom. The formation energy from raw total energies comes out at 0.0 eV per formula unit. Its density of states at the Fermi level is 0.988 states/eV/cell. The value obtained for the raw total energy is -1.241 eV per atom. Its space group is No. 164.

***

No. 19
VASP calculation (PBE-GGA) on a relaxed DyHo2Pu3Se6 crystal.

```
DyHo2Pu3Se6
1.0
4.0807 0.0000 0.0000
0.0000 8.2431 0.2332
-2.0404 -2.4366 8.6365
Pu Se Ho Dy
3 6 2 1
direct
0.1664 0.8333 0.3328
0.5000 0.5000 0.0000
0.8336 0.1667 0.6672
0.3317 0.4208 0.6634
0.6656 0.0875 0.3312
0.9983 0.7527 0.9966
0.6683 0.5792 0.3366
0.0017 0.2473 0.0034
0.3344 0.9125 0.6688
0.8334 0.6670 0.6669
0.1666 0.3330 0.3331
0.5000 0.0000 0.0000
```

## Properties
The mass density comes out at 9.629 g/cm³. The magnetic moment is 17.618 μB/f.u. The formation energy from raw total energies comes out at -20.0 eV per formula unit. Its density of states at the Fermi level is 26.055 states/eV/cell. The value obtained for the raw total energy is -8.134 eV per atom. Its space group is No. 12.

***

No. 20
VASP calculation (PBE-GGA) on a relaxed ScPb crystal.

```
ScPb
1.0
3.4844 0.0000 0.0000
-1.7422 3.0176 0.0000
0.0000 0.0000 9.6320
Sc Pb
2 2
direct
0.0000 0.0000 0.5000
0.0000 0.0000 0.0000
0.6667 0.3333 0.7500
0.3333 0.6667 0.2500
```

## Properties
The mass density comes out at 8.269 g/cm³. As for the formation energy: -0.28 eV/atom. The magnetic moment is 0.000 μB/f.u. Its density of states at the Fermi level is 4.357 states/eV/cell. The value obtained for the raw total energy is -5.305 eV per atom. Its space group is No. 194.